[1]
Cu5Hg after structural relaxation, computed with GGA-PBE.

energy of formation from the pure elements: 0.13 eV per atom
total energy: -3.336 eV per atom
DOS(E_F): 0.30 states/eV per atom

a = 7.0366 Å, b = 7.0366 Å, c = 4.2223 Å
α = 90.00°, β = 90.00°, γ = 156.80°
Atoms (fractional coordinates):
Hg (0.8882, 0.1118, 0.5000)
Cu (0.3222, 0.6778, 0.0000)
Cu (0.2091, 0.7909, 0.5000)
Cu (0.5598, 0.4402, 0.5000)
Cu (0.6701, 0.3299, 0.0000)
Cu (0.0173, 0.9827, 0.0000)

[2]
Cs5ZrO4 after structural relaxation, computed with GGA-PBE.

total energy: -4.962 eV per atom
energy relative to the elements, uncorrected: -1.697 eV/atom
DOS(E_F): 0.18 states/eV per atom

a = 6.9041 Å, b = 11.0487 Å, c = 8.4717 Å
α = 90.00°, β = 90.00°, γ = 90.00°
Atoms (fractional coordinates):
Cs (0.7580, 0.8250, 0.2384)
Cs (0.2420, 0.3250, 0.2616)
Cs (0.2420, 0.3250, 0.7384)
Cs (0.7580, 0.1750, 0.2384)
Cs (0.7580, 0.1750, 0.7616)
Cs (0.2726, 0.0000, 0.5000)
Cs (0.7274, 0.5000, 0.0000)
Cs (0.2420, 0.6750, 0.2616)
Cs (0.7580, 0.8250, 0.7616)
Cs (0.2420, 0.6750, 0.7384)
O (0.9114, 0.3498, 0.5000)
O (0.9114, 0.6502, 0.5000)
O (0.0886, 0.8498, 0.0000)
O (0.4269, 0.0000, 0.8079)
O (0.4269, 0.0000, 0.1921)
O (0.5731, 0.5000, 0.3079)
O (0.0886, 0.1502, 0.0000)
O (0.5731, 0.5000, 0.6921)
Zr (0.7443, 0.5000, 0.5000)
Zr (0.2557, 0.0000, 0.0000)

[3]
NaCd6Ag12 after structural relaxation, computed with GGA-PBE.

energy of formation from the pure elements: 0.02 eV per atom
total energy: -2.137 eV per atom
relative energy among the computed polymorphs: 0 meV/atom
DOS(E_F): 0.41 states/eV per atom

a = 7.4166 Å, b = 7.4166 Å, c = 7.4166 Å
α = 101.40°, β = 101.40°, γ = 101.40°
Atoms (fractional coordinates):
Cd (0.8292, 0.8271, 0.5691)
Cd (0.1708, 0.1729, 0.4309)
Cd (0.4309, 0.1708, 0.1729)
Cd (0.1729, 0.4309, 0.1708)
Cd (0.5691, 0.8292, 0.8271)
Cd (0.8271, 0.5691, 0.8292)
Na (0.0000, 0.0000, 0.0000)
Ag (0.2614, 0.0007, 0.7380)
Ag (0.5976, 0.5961, 0.1831)
Ag (0.2620, 0.7386, 0.9993)
Ag (0.0007, 0.7380, 0.2614)
Ag (0.8169, 0.4024, 0.4039)
Ag (0.7386, 0.9993, 0.2620)
Ag (0.9993, 0.2620, 0.7386)
Ag (0.5961, 0.1831, 0.5976)
Ag (0.7380, 0.2614, 0.0007)
Ag (0.4039, 0.8169, 0.4024)
Ag (0.4024, 0.4039, 0.8169)
Ag (0.1831, 0.5976, 0.5961)

[4]
KTiFeN2 after structural relaxation, computed with GGA-PBE.

total energy: -3.987 eV per atom
energy relative to the elements, uncorrected: 2.835 eV/atom
DOS(E_F): 1.17 states/eV per atom

a = 4.5439 Å, b = 4.4798 Å, c = 4.5439 Å
α = 90.00°, β = 90.00°, γ = 90.00°
Last column: magnetic moment on the atom in μB.
Atoms (fractional coordinates):
N (0.0000, 0.0000, 0.5000)  0.89
N (0.5000, 0.0000, 0.0000)  0.78
Ti (0.5000, 0.5000, 0.5000)  -1.16
Fe (0.0000, 0.5000, 0.0000)  -2.94
K (0.0000, 0.0000, 0.0000)  0.09

[5]
Hg2MoIr after structural relaxation, computed with GGA-PBE.

energy of formation from the pure elements: 0.36 eV per atom
total energy: -4.711 eV per atom
relative energy among the computed polymorphs: 188 meV/atom
DOS(E_F): 0.61 states/eV per atom

a = 3.5225 Å, b = 3.5225 Å, c = 9.6298 Å
α = 72.45°, β = 72.45°, γ = 47.77°
Atoms (fractional coordinates):
Ir (0.4503, 0.4503, 0.4597)
Mo (0.2745, 0.2745, 0.2867)
Hg (0.0478, 0.0478, 0.0239)
Hg (0.7275, 0.7275, 0.7297)

[6]
HfGa3Ag after structural relaxation, computed with GGA-PBE.

energy of formation from the pure elements: 0.71 eV per atom
total energy: -3.666 eV per atom
relative energy among the computed polymorphs: 82 meV/atom
DOS(E_F): 0.66 states/eV per atom

a = 5.1843 Å, b = 5.1843 Å, c = 5.1843 Å
α = 90.00°, β = 90.00°, γ = 90.00°
Atoms (fractional coordinates):
Ag (0.5000, 0.5000, 0.5000)
Ga (0.5000, 0.0000, 0.0000)
Ga (0.0000, 0.5000, 0.0000)
Ga (0.0000, 0.0000, 0.5000)
Hf (0.0000, 0.0000, 0.0000)

[7]
CoPt2Rh2 after structural relaxation, computed with GGA-PBE.

energy of formation from the pure elements: 0.10 eV per atom
total energy: -6.677 eV per atom
relative energy among the computed polymorphs: 0 meV/atom
DOS(E_F): 1.63 states/eV per atom

a = 2.6959 Å, b = 4.0130 Å, c = 7.0307 Å
α = 106.58°, β = 90.00°, γ = 90.00°
Last column: magnetic moment on the atom in μB.
Atoms (fractional coordinates):
Pt (0.5000, 0.5987, 0.1974)  0.27
Pt (0.5000, 0.4013, 0.8026)  0.27
Rh (0.0000, 0.8064, 0.6128)  0.26
Rh (0.0000, 0.1936, 0.3872)  0.26
Co (0.0000, 0.0000, 0.0000)  2.00

[8]
Cs2MgBe2S4 after structural relaxation, computed with GGA-PBE.

total energy: -4.179 eV per atom
energy relative to the elements, uncorrected: -1.150 eV/atom
DOS(E_F): 0.00 states/eV per atom

a = 3.7355 Å, b = 7.8902 Å, c = 7.5866 Å
α = 107.08°, β = 104.25°, γ = 90.00°
Atoms (fractional coordinates):
Be (0.3246, 0.0245, 0.6492)
Be (0.6754, 0.9755, 0.3508)
Cs (0.8687, 0.4665, 0.7375)
Cs (0.1313, 0.5335, 0.2625)
S (0.2050, 0.1353, 0.4101)
S (0.4640, 0.1950, 0.9280)
S (0.5360, 0.8050, 0.0720)
S (0.7950, 0.8647, 0.5899)
Mg (0.0000, 0.0000, 0.0000)

[9]
K2NiRh after structural relaxation, computed with GGA-PBE.

energy of formation from the pure elements: 1.14 eV per atom
total energy: -2.688 eV per atom
relative energy among the computed polymorphs: 759 meV/atom
DOS(E_F): 2.39 states/eV per atom

a = 5.2920 Å, b = 5.2920 Å, c = 3.7025 Å
α = 90.00°, β = 90.00°, γ = 90.00°
Last column: magnetic moment on the atom in μB.
Atoms (fractional coordinates):
K (0.5000, 0.5000, 0.0000)  -0.01
K (0.0000, 0.0000, 0.0000)  -0.01
Ni (0.5000, 0.0000, 0.5000)  0.67
Rh (0.0000, 0.5000, 0.5000)  0.44

[10]
GdLuRuRh after structural relaxation, computed with GGA-PBE.

energy of formation from the pure elements: -0.65 eV per atom
total energy: -9.455 eV per atom
DOS(E_F): 0.46 states/eV per atom

a = 4.7977 Å, b = 4.7977 Å, c = 4.7977 Å
α = 60.00°, β = 60.00°, γ = 60.00°
Last column: magnetic moment on the atom in μB.
Atoms (fractional coordinates):
Lu (0.5000, 0.5000, 0.5000)  0.02
Rh (0.2500, 0.2500, 0.2500)  -0.03
Gd (0.0000, 0.0000, 0.0000)  7.01
Ru (0.7500, 0.7500, 0.7500)  -0.04

[11]
SrBPd6 after structural relaxation, computed with GGA-PBE.

energy of formation from the pure elements: -0.28 eV per atom
total energy: -5.223 eV per atom
DOS(E_F): 0.91 states/eV per atom

a = 5.7961 Å, b = 5.7961 Å, c = 5.9438 Å
α = 60.82°, β = 60.82°, γ = 60.00°
Atoms (fractional coordinates):
B (0.0000, 0.0000, 0.0000)
Pd (0.9023, 0.4251, 0.7704)
Pd (0.0977, 0.5749, 0.2296)
Pd (0.5749, 0.0977, 0.2296)
Pd (0.4251, 0.9023, 0.7704)
Pd (0.9023, 0.9023, 0.7704)
Pd (0.0977, 0.0977, 0.2296)
Sr (0.5000, 0.5000, 0.5000)

[12]
Er2Si2Ge after structural relaxation, computed with GGA-PBE.

total energy: -5.607 eV per atom
relative energy among the computed polymorphs: 0 meV/atom
energy relative to the elements, uncorrected: -0.689 eV/atom
DOS(E_F): 0.29 states/eV per atom

a = 4.0015 Å, b = 5.5250 Å, c = 5.5250 Å
α = 66.88°, β = 68.77°, γ = 68.77°
Atoms (fractional coordinates):
Er (0.7774, 0.7226, 0.7226)
Er (0.2226, 0.2774, 0.2774)
Ge (0.0000, 0.0000, 0.0000)
Si (0.5000, 0.3042, 0.6958)
Si (0.5000, 0.6958, 0.3042)

[13]
La4AgSe after structural relaxation, computed with GGA-PBE.

total energy: -4.229 eV per atom
energy relative to the elements, uncorrected: 0.112 eV/atom
DOS(E_F): 1.41 states/eV per atom

a = 6.3765 Å, b = 6.3765 Å, c = 6.3765 Å
α = 60.00°, β = 60.00°, γ = 60.00°
Atoms (fractional coordinates):
Se (0.7500, 0.7500, 0.7500)
La (0.3759, 0.3759, 0.8723)
La (0.3759, 0.8723, 0.3759)
La (0.8723, 0.3759, 0.3759)
La (0.3759, 0.3759, 0.3759)
Ag (0.0000, 0.0000, 0.0000)

[14]
AlP2PbO after structural relaxation, computed with GGA-PBE.

total energy: -4.964 eV per atom
relative energy among the computed polymorphs: 0 meV/atom
energy relative to the elements, uncorrected: -0.319 eV/atom
DOS(E_F): 0.97 states/eV per atom

a = 5.1756 Å, b = 5.1756 Å, c = 3.4278 Å
α = 90.00°, β = 90.00°, γ = 90.00°
Atoms (fractional coordinates):
P (0.5000, 0.0000, 0.0000)
P (0.0000, 0.5000, 0.0000)
Al (0.0000, 0.0000, 0.0000)
O (0.0000, 0.0000, 0.5000)
Pb (0.5000, 0.5000, 0.5000)

[15]
TaAlRu2 after structural relaxation, computed with GGA-PBE.

energy of formation from the pure elements: 0.23 eV per atom
total energy: -8.311 eV per atom
DOS(E_F): 0.59 states/eV per atom

a = 6.7146 Å, b = 6.7146 Å, c = 5.5755 Å
α = 52.98°, β = 52.98°, γ = 90.00°
Atoms (fractional coordinates):
Ru (0.6200, 0.1250, 0.2500)
Ru (0.3750, 0.3800, 0.7500)
Ru (0.1300, 0.6250, 0.2500)
Ru (0.8750, 0.8700, 0.7500)
Al (0.5000, 0.5000, 0.0000)
Al (0.2500, 0.7500, 0.5000)
Ta (0.7500, 0.2500, 0.5000)
Ta (0.0000, 0.0000, 0.0000)

[16]
AcLaSbSe after structural relaxation, computed with GGA-PBE.

total energy: -5.511 eV per atom
energy relative to the elements, uncorrected: -1.350 eV/atom
DOS(E_F): 0.76 states/eV per atom

a = 5.5429 Å, b = 5.5429 Å, c = 5.5429 Å
α = 60.00°, β = 60.00°, γ = 60.00°
Atoms (fractional coordinates):
Sb (0.7500, 0.7500, 0.7500)
Ac (0.0000, 0.0000, 0.0000)
Se (0.2500, 0.2500, 0.2500)
La (0.5000, 0.5000, 0.5000)

[17]
VReP after structural relaxation, computed with GGA-PBE.

energy of formation from the pure elements: -0.24 eV per atom
total energy: -9.237 eV per atom
relative energy among the computed polymorphs: 0 meV/atom
DOS(E_F): 1.16 states/eV per atom

a = 2.8325 Å, b = 4.1021 Å, c = 4.1021 Å
α = 120.00°, β = 90.00°, γ = 90.00°
Atoms (fractional coordinates):
V (0.6694, 0.6667, 0.3333)
P (0.1653, 0.0000, 0.0000)
Re (0.1654, 0.3333, 0.6667)

[18]
ScTlRh2 after structural relaxation, computed with GGA-PBE.

energy of formation from the pure elements: -0.10 eV per atom
total energy: -5.946 eV per atom
relative energy among the computed polymorphs: 491 meV/atom
DOS(E_F): 0.23 states/eV per atom

a = 7.1327 Å, b = 7.1327 Å, c = 5.8672 Å
α = 52.57°, β = 52.57°, γ = 90.00°
Atoms (fractional coordinates):
Rh (0.6056, 0.1250, 0.2500)
Rh (0.1444, 0.6250, 0.2500)
Rh (0.8750, 0.8556, 0.7500)
Rh (0.3750, 0.3944, 0.7500)
Sc (0.5000, 0.5000, 0.0000)
Sc (0.2500, 0.7500, 0.5000)
Tl (0.7500, 0.2500, 0.5000)
Tl (0.0000, 0.0000, 0.0000)

[19]
Ca2FeIr after structural relaxation, computed with GGA-PBE.

energy of formation from the pure elements: 0.33 eV per atom
total energy: -5.006 eV per atom
relative energy among the computed polymorphs: 353 meV/atom
DOS(E_F): 1.06 states/eV per atom

a = 10.3416 Å, b = 10.3416 Å, c = 7.6865 Å
α = 47.72°, β = 47.72°, γ = 90.00°
Last column: magnetic moment on the atom in μB.
Atoms (fractional coordinates):
Ca (0.7918, 0.1250, 0.2500)  -0.04
Ca (0.8750, 0.0418, 0.7500)  -0.04
Ca (0.9582, 0.6250, 0.2500)  -0.04
Ca (0.3750, 0.2082, 0.7500)  -0.04
Ir (0.0000, 0.0000, 0.0000)  0.31
Ir (0.7500, 0.2500, 0.5000)  0.31
Fe (0.2500, 0.7500, 0.5000)  3.00
Fe (0.5000, 0.5000, 0.0000)  2.99

[20]
YNpAlO6 after structural relaxation, computed with GGA-PBE.

total energy: -8.905 eV per atom
energy relative to the elements, uncorrected: -3.027 eV/atom

a = 5.2469 Å, b = 5.2469 Å, c = 9.8301 Å
α = 90.00°, β = 90.00°, γ = 120.00°
Last column: magnetic moment on the atom in μB.
Atoms (fractional coordinates):
Al (0.3333, 0.6667, 0.7500)  0.00
Al (0.6667, 0.3333, 0.2500)  0.00
O (0.6548, 0.6352, 0.1403)  -0.03
O (0.6352, 0.9805, 0.8597)  -0.03
O (0.6352, 0.6548, 0.6403)  -0.03
O (0.0195, 0.3648, 0.6403)  -0.03
O (0.9805, 0.3452, 0.1403)  -0.03
O (0.3452, 0.3648, 0.8597)  -0.03
O (0.3648, 0.0195, 0.1403)  -0.03
O (0.6548, 0.0195, 0.3597)  -0.03
O (0.0195, 0.6548, 0.8597)  -0.03
O (0.3452, 0.9805, 0.6403)  -0.03
O (0.3648, 0.3452, 0.3597)  -0.03
O (0.9805, 0.6352, 0.3597)  -0.03
Y (0.0000, 0.0000, 0.5000)  0.00
Y (0.0000, 0.0000, 0.0000)  0.00
Np (0.3333, 0.6667, 0.2500)  1.21
Np (0.6667, 0.3333, 0.7500)  1.21